# 1
## Nd4Dy2Er (GGA-PBE)

Data for a geometry-optimized Nd4Dy2Er structure.

SG: No. 43
Crystal system: orthorhombic
Density (g/cm3): 7.5
VASP energy (eV/cell): -64.85
E_form (kcal/mol of atoms): 1.4
Energy above the most stable polymorph in this dataset (eV/atom): 0.0000

Lattice parameters (Å, degrees): 12.574 6.823 13.553 67.04 29.98 82.98
Fractional positions:
Nd 0.018 0.982 0.122
Nd 0.128 0.372 0.232
Nd 0.372 0.128 0.268
Nd 0.456 0.606 0.256
Nd 0.569 0.994 0.644
Nd 0.606 0.456 0.681
Nd 0.982 0.018 0.878
Nd 0.994 0.569 0.794
Dy 0.065 0.545 0.004
Dy 0.246 0.864 0.185
Dy 0.545 0.065 0.386
Dy 0.864 0.246 0.705
Er 0.496 0.496 0.504
Er 0.746 0.746 0.754

# 2
## YMg5Pb6 (GGA-PBE)

Data for a geometry-optimized YMg5Pb6 structure.

SG: No. 10
Crystal system: monoclinic
Density (g/cm3): 7.6
VASP energy (eV/cell): -38.18
E_form (kcal/mol of atoms): -2.9

Lattice parameters (Å, degrees): 5.418 7.202 8.548 90.00 106.97 90.00
Fractional positions:
Y 0.000 0.000 0.000
Mg 0.000 0.500 0.000
Mg 0.325 0.500 0.660
Mg 0.335 0.000 0.676
Mg 0.665 0.000 0.324
Mg 0.675 0.500 0.340
Pb 0.175 0.251 0.342
Pb 0.175 0.749 0.342
Pb 0.500 0.263 0.000
Pb 0.500 0.737 0.000
Pb 0.825 0.251 0.658
Pb 0.825 0.749 0.658

# 3
## Zr5TlHg (GGA-PBE)

Data for a geometry-optimized Zr5TlHg structure.

SG: No. 15
Crystal system: monoclinic
Density (g/cm3): 8.8
VASP energy (eV/cell): -89.97
E_form (kcal/mol of atoms): 1.4

Lattice parameters (Å, degrees): 7.583 7.583 5.839 100.52 100.52 90.36
Fractional positions:
Zr 0.137 0.537 0.213
Zr 0.186 0.303 0.596
Zr 0.221 0.779 0.750
Zr 0.303 0.186 0.096
Zr 0.463 0.863 0.287
Zr 0.537 0.137 0.713
Zr 0.697 0.814 0.904
Zr 0.779 0.221 0.250
Zr 0.814 0.697 0.404
Zr 0.863 0.463 0.787
Tl 0.068 0.932 0.250
Tl 0.932 0.068 0.750
Hg 0.500 0.500 0.000
Hg 0.500 0.500 0.500

# 4
## Tb2Er5 (GGA-PBE)

Data for a geometry-optimized Tb2Er5 structure.

SG: No. 15
Crystal system: monoclinic
Density (g/cm3): 8.8
VASP energy (eV/cell): -64.14
E_form (kcal/mol of atoms): 0.0

Lattice parameters (Å, degrees): 8.354 8.354 9.100 95.73 95.73 43.70
Fractional positions:
Tb 0.096 0.761 0.893
Tb 0.239 0.904 0.607
Tb 0.761 0.096 0.393
Tb 0.904 0.239 0.107
Er 0.048 0.381 0.822
Er 0.190 0.522 0.536
Er 0.334 0.666 0.250
Er 0.381 0.048 0.322
Er 0.478 0.810 0.964
Er 0.522 0.190 0.036
Er 0.619 0.952 0.678
Er 0.666 0.334 0.750
Er 0.810 0.478 0.464
Er 0.952 0.619 0.178

# 5
## CsPdICl6 (GGA-PBE)

Data for a geometry-optimized CsPdICl6 structure.

SG: No. 1
ΔE_f (raw) (eV per atom): -0.69
Crystal system: triclinic
Density (g/cm3): 3.0
VASP energy (eV/cell): -24.85

Lattice parameters (Å, degrees): 6.693 7.113 7.339 109.34 105.20 91.63
Fractional positions:
Cs 0.000 0.000 0.000
Pd 0.578 0.574 0.346
I 0.273 0.432 0.738
Cl 0.103 0.513 0.012
Cl 0.436 0.317 0.437
Cl 0.533 0.824 0.622
Cl 0.584 0.318 0.045
Cl 0.686 0.816 0.236
Cl 0.946 0.527 0.526

# 6
## LaY2Cl (GGA-PBE)

Data for a geometry-optimized LaY2Cl structure.

SG: No. 35
ΔE_f (raw) (eV per atom): -0.58
Crystal system: orthorhombic
Density (g/cm3): 4.8
VASP energy (eV/cell): -44.04
Energy above the most stable polymorph in this dataset (eV/atom): 0.0925

Lattice parameters (Å, degrees): 3.810 6.055 10.527 90.00 90.00 90.00
Fractional positions:
La 0.000 0.000 0.000
La 0.500 0.500 0.000
Y 0.000 0.000 0.446
Y 0.000 0.500 0.710
Y 0.500 0.000 0.710
Y 0.500 0.500 0.446
Cl 0.000 0.500 0.239
Cl 0.500 0.000 0.239

# 7
## Ho2HPd6 (GGA-PBE)

Data for a geometry-optimized Ho2HPd6 structure.

SG: No. 139
Crystal system: tetragonal
Density (g/cm3): 11.5
VASP energy (eV/cell): -51.26

Lattice parameters (Å, degrees): 5.842 5.842 5.842 120.20 120.20 89.66
Fractional positions:
Ho 0.250 0.750 0.500
Ho 0.750 0.250 0.500
H 0.000 0.000 0.000
Pd 0.251 0.251 0.000
Pd 0.251 0.251 0.503
Pd 0.251 0.749 0.000
Pd 0.749 0.251 0.000
Pd 0.749 0.749 0.000
Pd 0.749 0.749 0.497

# 8
## BaPb2W (GGA-PBE)

Data for a geometry-optimized BaPb2W structure.

SG: No. 122
Crystal system: tetragonal
Density (g/cm3): 7.4
VASP energy (eV/cell): -77.54
E_form (kcal/mol of atoms): 16.8
Energy above the most stable polymorph in this dataset (eV/atom): 0.2528

Lattice parameters (Å, degrees): 6.124 6.124 17.517 90.00 90.00 90.00
Fractional positions:
Ba 0.000 0.000 0.000
Ba 0.000 0.500 0.250
Ba 0.500 0.000 0.750
Ba 0.500 0.500 0.500
Pb 0.047 0.250 0.625
Pb 0.250 0.547 0.875
Pb 0.250 0.953 0.375
Pb 0.453 0.250 0.125
Pb 0.547 0.750 0.125
Pb 0.750 0.047 0.375
Pb 0.750 0.453 0.875
Pb 0.953 0.750 0.625
W 0.000 0.000 0.500
W 0.000 0.500 0.750
W 0.500 0.000 0.250
W 0.500 0.500 0.000